A relaxed structure of PrThSc2As4, computed with PBE.

For the formation energy, the calculation gives -1401 meV per atom. The calculation puts the magnetization at 0.00 μB per formula unit. The value obtained for the total energy is -6.834 eV/atom.

The structure belongs to space group P2/m (No. 10); the cell edges are 7.020, 4.107 and 7.111 Å and the angles 90.00°, 109.65° and 90.00°. The inequivalent atoms are Pr at (0.000, 0.000, 0.000), Th at (0.000, 0.500, 0.500), Sc at (0.500, 0.000, 0.500), Sc at (0.500, 0.500, 0.000), As at (0.274, 0.000, 0.756) and As at (0.275, 0.500, 0.261).